Model P:
A plane-wave DFT calculation with PBE was carried out for a geometry-optimized LiCaPb4 structure.

Cell and atoms, written as POSCAR:
```
LiCaPb4
1.0
0.0000 4.6055 4.6055
4.6055 0.0000 4.6055
4.6055 4.6055 0.0000
Pb Ca Li
4 1 1
direct
0.3758 0.8726 0.3758 Pb
0.3758 0.3758 0.8726 Pb
0.8726 0.3758 0.3758 Pb
0.3758 0.3758 0.3758 Pb
0.7500 0.7500 0.7500 Ca
0.0000 0.0000 0.0000 Li
```

Calculated values
space-group type: F-43m


Model Q:
A plane-wave DFT calculation with PBE was carried out for a geometry-optimized LiCaPb4 structure.

Cell and atoms, written as POSCAR:
```
LiCaPb4
1.0
5.5318 0.0000 0.0000
0.0000 3.5064 -0.9340
0.0000 -1.9754 9.7242
Pb Ca Li
4 1 1
direct
0.0000 0.0482 0.3474 Pb
0.5000 0.3707 0.8198 Pb
0.0000 0.9518 0.6526 Pb
0.5000 0.6293 0.1802 Pb
0.0000 0.0000 0.0000 Ca
0.5000 0.5000 0.5000 Li
```

Calculated values
space-group type: P2/m


Model R:
A plane-wave DFT calculation with PBE was carried out for a geometry-optimized LiCaPb4 structure.

Cell and atoms, written as POSCAR:
```
LiCaPb4
1.0
-0.3352 -5.7138 0.1325
3.6496 -0.0683 6.2884
-7.1167 3.3824 4.1670
Pb Li Ca
8 2 2
direct
0.8108 0.4350 0.6217 Pb
0.9890 0.2169 0.9779 Pb
0.5196 0.4551 0.0392 Pb
0.0110 0.7169 0.0221 Pb
0.3401 0.6521 0.6803 Pb
0.1892 0.9350 0.3783 Pb
0.4804 0.9551 0.9608 Pb
0.6599 0.1521 0.3197 Pb
0.6414 0.7439 0.2828 Li
0.3586 0.2439 0.7172 Li
0.8323 0.9304 0.6647 Ca
0.1677 0.4304 0.3353 Ca
```

Calculated values
space-group type: Cmc2_1


Relative energies, unit eV/atom: model P 0.082; model Q 0.020; model R 0.000


Model P:
A plane-wave DFT calculation with PBE was carried out for a geometry-optimized Li4CaPb structure.

Cell and atoms, written as POSCAR:
```
Li4CaPb
1.0
4.8874 0.0000 0.0000
0.0000 7.5149 0.0000
-2.4437 0.0000 7.7895
Li Pb Ca
8 2 2
direct
0.2507 0.4176 0.5013 Li
0.0000 0.5000 0.0000 Li
0.7493 0.9176 0.4987 Li
0.5818 0.7500 0.1636 Li
0.4182 0.2500 0.8364 Li
0.0000 0.0000 0.0000 Li
0.2507 0.0824 0.5013 Li
0.7493 0.5824 0.4987 Li
0.1652 0.7500 0.3303 Pb
0.8348 0.2500 0.6697 Pb
0.3827 0.7500 0.7655 Ca
0.6173 0.2500 0.2345 Ca
```

Calculated values
space-group type: Cmcm


Model Q:
A plane-wave DFT calculation with PBE was carried out for a geometry-optimized Li4CaPb structure.

Cell and atoms, written as POSCAR:
```
Li4CaPb
1.0
-4.1679 3.1815 2.1464
-5.4041 -1.5242 -0.7568
-3.0470 -1.9027 4.3814
Li Pb Ca
4 1 1
direct
0.1255 0.6248 0.6248 Li
0.6248 0.6248 0.1255 Li
0.6248 0.1255 0.6248 Li
0.6248 0.6248 0.6248 Li
0.2500 0.2500 0.2500 Pb
0.0000 0.0000 0.0000 Ca
```

Calculated values
space-group type: F-43m


Relative energies, unit eV/atom: model P 0.068; model Q 0.000